1.
Density functional theory data (PBE-GGA) for HoErMgAl after structural relaxation.

Cell and atoms, written as POSCAR:
```
HoErMgAl
1.0
-2.8504 2.4807 3.5182
0.1231 -1.4930 4.9409
2.2883 2.9802 3.5410
Er Ho Mg Al
1 1 1 1
direct
0.0000 0.0000 0.0000
0.5000 0.5000 0.5000
0.2500 0.2500 0.2500
0.7500 0.7500 0.7500
```

Output
Formation energy from the elements: -0.268 eV/atom
Crystal system: cubic


2.
Density functional theory data (PBE-GGA) for KTlInHg after structural relaxation.

Cell and atoms, written as POSCAR:
```
KTlInHg
1.0
-2.5763 3.1384 -3.7674
-2.3489 -2.3563 -4.4284
-5.5184 -0.1750 -0.4439
In Tl K Hg
1 1 1 1
direct
0.7500 0.7500 0.7500
0.0000 0.0000 0.0000
0.2500 0.2500 0.2500
0.5000 0.5000 0.5000
```

Output
Formation energy from the elements: -0.086 eV/atom
Crystal system: cubic
ΔE to the lowest computed polymorph: 0 meV/atom


3.
Density functional theory data (PBE-GGA) for YCrSn after structural relaxation.

Cell and atoms, written as POSCAR:
```
YCrSn
1.0
-0.0220 2.4991 -3.7843
1.5029 -5.7365 -1.1321
-5.9323 1.2741 1.0649
Cr Sn Y
2 2 2
direct
0.0780 0.6817 0.6304
0.9220 0.3183 0.3696
0.5011 0.5116 0.7595
0.4989 0.4884 0.2405
0.1899 0.8844 0.2215
0.8101 0.1156 0.7785
```

Output
Formation energy from the elements: -0.056 eV/atom
Crystal system: triclinic


4.
Density functional theory data (PBE-GGA) for AcMgGa2 after structural relaxation.

Cell and atoms, written as POSCAR:
```
AcMgGa2
1.0
-0.2730 -4.1698 0.5304
4.9954 -0.3237 0.0259
0.0151 0.6307 4.9660
Ga Ac Mg
2 1 1
direct
0.0000 0.5000 0.0000
0.0000 0.0000 0.5000
0.5000 0.5000 0.5000
0.5000 0.0000 0.0000
```

Output
Formation energy from the elements: -0.271 eV/atom
Crystal system: tetragonal


5.
Density functional theory data (PBE-GGA) for YPu2Np after structural relaxation.

Cell and atoms, written as POSCAR:
```
YPu2Np
1.0
-1.3934 -2.8689 -1.8457
-0.0451 -3.3424 1.5509
-8.4069 -0.3949 3.2819
Y Np Pu
1 1 2
direct
0.0000 0.0000 0.0000
0.5000 0.5000 0.5000
0.8827 0.8827 0.3518
0.1173 0.1173 0.6482
```

Output
Formation energy from the elements: 0.568 eV/atom
Crystal system: trigonal


6.
Density functional theory data (PBE-GGA) for Ru2RhW after structural relaxation.

Cell and atoms, written as POSCAR:
```
Ru2RhW
1.0
-3.9592 -8.0602 1.2674
-1.6631 -8.4913 2.7166
-3.8165 -7.2490 3.8903
W Ru Rh
1 2 1
direct
0.4996 0.4996 0.4996
0.2519 0.2519 0.2519
0.9988 0.9988 0.9988
0.7497 0.7497 0.7497
```

Output
Formation energy from the elements: 0.087 eV/atom
Crystal system: trigonal
ΔE to the lowest computed polymorph: 204 meV/atom


7.
Density functional theory data (PBE-GGA) for Ba6BiSe4 after structural relaxation.

Cell and atoms, written as POSCAR:
```
Ba6BiSe4
1.0
4.8091 0.0000 0.0000
-2.4045 7.7602 0.0000
0.0000 0.0000 24.0016
Ba Se Bi
12 8 2
direct
0.3266 0.6532 0.2500
0.7735 0.5470 0.0840
0.6734 0.3468 0.7500
0.0444 0.0888 0.1631
0.7735 0.5470 0.4160
0.2265 0.4530 0.9160
0.5000 0.0000 0.0000
0.5000 0.0000 0.5000
0.2265 0.4530 0.5840
0.9556 0.9112 0.8369
0.9556 0.9112 0.6631
0.0444 0.0888 0.3369
0.4073 0.8146 0.1237
0.5927 0.1854 0.6237
0.8623 0.7246 0.9585
0.1377 0.2754 0.4585
0.8623 0.7246 0.5415
0.1377 0.2754 0.0415
0.4073 0.8146 0.3763
0.5927 0.1854 0.8763
0.6588 0.3176 0.2500
0.3412 0.6824 0.7500
```

Output
Formation energy (no corrections): -1.68 eV per atom
Crystal system: orthorhombic


8.
Density functional theory data (PBE-GGA) for Ce2Sb2HO after structural relaxation.

Cell and atoms, written as POSCAR:
```
Ce2Sb2HO
1.0
5.7130 0.0000 0.0000
0.0000 5.7283 0.0000
-2.8565 -2.8641 7.5262
Ce O Sb H
4 2 4 2
direct
0.8170 0.0850 0.1700
0.1830 0.9150 0.8300
0.6469 0.4150 0.8300
0.3531 0.5850 0.1700
0.5000 0.2500 0.0000
0.5000 0.7500 0.0000
0.0452 0.3105 0.6211
0.5759 0.8105 0.6211
0.9548 0.6895 0.3789
0.4241 0.1895 0.3789
0.0000 0.7500 0.0000
0.0000 0.2500 0.0000
```

Output
Crystal system: orthorhombic
VASP energy: -0.2255 hartree per atom


9.
Density functional theory data (PBE-GGA) for La4Sm3In2 after structural relaxation.

Cell and atoms, written as POSCAR:
```
La4Sm3In2
1.0
4.8055 0.0000 1.0285
2.1578 5.5851 1.6587
0.2230 0.0674 10.6987
Sm La In
3 4 2
direct
0.0000 0.0000 0.0000
0.3262 0.7941 0.5535
0.6738 0.2059 0.4465
0.9877 0.3492 0.6753
0.0123 0.6508 0.3247
0.6678 0.5537 0.1108
0.3322 0.4463 0.8892
0.3385 0.1026 0.2203
0.6615 0.8974 0.7797
```

Output
Formation energy from the elements: -0.230 eV/atom
Crystal system: monoclinic


10.
Density functional theory data (PBE-GGA) for Nd5Dy3Pt12 after structural relaxation.

Cell and atoms, written as POSCAR:
```
Nd5Dy3Pt12
1.0
-11.0229 -5.6905 -7.0029
10.9309 -9.1338 -0.1245
-3.7995 2.6750 13.4661
Pt Nd Dy
48 20 12
direct
0.1586 0.0773 0.9252
0.3479 0.9252 0.7665
0.4252 0.7665 0.8479
0.7335 0.1521 0.0748
0.1521 0.7335 0.5748
0.4187 0.2665 0.3414
0.6521 0.0748 0.2335
0.2665 0.8479 0.9252
0.5748 0.3414 0.9227
0.5773 0.9252 0.6586
0.6521 0.5773 0.9187
0.7665 0.4252 0.3479
0.0813 0.9227 0.3479
0.4187 0.1521 0.5773
0.8479 0.5813 0.9227
0.5773 0.6521 0.4187
0.5748 0.2335 0.1521
0.6586 0.2335 0.5813
0.0748 0.6521 0.7335
0.3479 0.4227 0.0813
0.5813 0.7335 0.6586
0.9187 0.0773 0.6521
0.7665 0.3414 0.9187
0.9252 0.3479 0.2665
0.2335 0.6586 0.0813
0.1521 0.4187 0.0773
0.4227 0.3479 0.5813
0.2335 0.5748 0.6521
0.7335 0.5813 0.1586
0.0813 0.1586 0.2335
0.0773 0.1586 0.4252
0.8414 0.9187 0.2665
0.4227 0.0748 0.3414
0.0773 0.9187 0.1521
0.8479 0.2665 0.4252
0.3414 0.7665 0.4187
0.8414 0.9227 0.0748
0.3414 0.5748 0.4227
0.9187 0.8414 0.7665
0.5813 0.8479 0.4227
0.9252 0.5773 0.1586
0.1586 0.0813 0.7335
0.6586 0.4252 0.5773
0.9227 0.8414 0.5748
0.4252 0.6586 0.0773
0.9227 0.0813 0.8479
0.2665 0.4187 0.8414
0.0748 0.4227 0.8414
0.1250 0.3750 0.2500
0.5000 0.0000 0.5000
0.5000 0.5000 0.5000
0.6250 0.8750 0.2500
0.0000 0.0000 0.0000
0.8750 0.2500 0.6250
0.5000 0.0000 0.0000
0.3750 0.1250 0.7500
0.0000 0.5000 0.0000
0.7500 0.1250 0.8750
0.2500 0.8750 0.1250
0.5000 0.5000 0.0000
0.8750 0.6250 0.7500
0.0000 0.0000 0.5000
0.3750 0.2500 0.1250
0.0000 0.5000 0.5000
0.1250 0.7500 0.3750
0.6250 0.7500 0.8750
0.2500 0.3750 0.6250
0.7500 0.6250 0.3750
0.1250 0.8750 0.7500
0.8750 0.1250 0.2500
0.3750 0.6250 0.2500
0.8750 0.7500 0.1250
0.6250 0.3750 0.7500
0.3750 0.7500 0.6250
0.7500 0.8750 0.6250
0.2500 0.6250 0.8750
0.2500 0.1250 0.3750
0.1250 0.2500 0.8750
0.6250 0.2500 0.3750
0.7500 0.3750 0.1250
```

Output
Formation energy from the elements: -0.586 eV/atom
Crystal system: cubic


11.
Density functional theory data (PBE-GGA) for AlSb2Br after structural relaxation.

Cell and atoms, written as POSCAR:
```
AlSb2Br
1.0
-3.0673 -5.3158 3.1939
-1.8361 -1.1088 -3.6087
3.2845 -2.4475 -0.9191
Br Sb Al
1 2 1
direct
0.5000 0.0000 0.5000
0.0000 0.0000 0.0000
0.0000 0.5000 0.5000
0.5000 0.5000 0.0000
```

Output
Formation energy (no corrections): 0.21 eV per atom
Crystal system: tetragonal
ΔE to the lowest computed polymorph: 406 meV/atom


12.
Density functional theory data (PBE-GGA) for NiHgBr after structural relaxation.

Cell and atoms, written as POSCAR:
```
NiHgBr
1.0
-0.2613 -4.1195 -1.8721
-1.4665 -3.5163 2.4554
-4.0492 -1.8407 -0.8711
Ni Hg Br
1 1 1
direct
0.7500 0.7500 0.7500
0.5000 0.5000 0.5000
0.0000 0.0000 0.0000
```

Output
Formation energy (no corrections): 0.30 eV per atom
Crystal system: cubic
ΔE to the lowest computed polymorph: 342 meV/atom


no.,ρ (Mg/m³)
1,6.54
2,7.72
3,6.41
4,6.15
5,13.09
6,13.89
7,5.00
8,7.29
9,7.19
10,10.60
11,4.77
12,8.55